A relaxed Ca2YHg crystal, computed with PBE.

Values from the calculation:
Volume = 30.217 A^3/atom
ΔH_f (0 K) = -86 meV per atom
Magnetization = 0.000 μB per atom
Total DFT energy (no corrections) = -2.779 eV/atom
Fermi-level density of states = 4.19 states/eV per cell
Symmetry = F222 (22)

abc: 5.556 5.556 5.558
angles: 120.31 120.31 89.37
Fractional coordinates of all 4 atoms:
Y 0.750 0.250 0.500
Ca 0.250 0.750 0.500
Hg 0.500 0.500 0.000
Ca 0.000 0.000 0.000

---

A relaxed HfZrTi3 crystal, computed with PBE.

Values from the calculation:
Volume = 20.567 A^3/atom
ΔH_f (0 K) = 366 meV per atom
Magnetization = 0.000 μB per atom
Energy relative to the lowest polymorph listed for this composition = 0.00 eV/f.u.
Total DFT energy (no corrections) = -8.071 eV/atom
Fermi-level density of states = 7.81 states/eV per cell
Symmetry = R3m (160)

abc: 4.903 4.903 4.903
angles: 71.48 71.48 71.48
Fractional coordinates of all 5 atoms:
Zr 0.954 0.954 0.954
Ti 0.810 0.327 0.327
Ti 0.327 0.810 0.327
Hf 0.707 0.707 0.707
Ti 0.327 0.327 0.810

---

A relaxed Sr3Cd4Ag2 crystal, computed with PBE.

Values from the calculation:
Volume = 29.462 A^3/atom
ΔH_f (0 K) = -267 meV per atom
Magnetization = 0.000 μB per atom
Energy relative to the lowest polymorph listed for this composition = 0.41 eV/f.u.
Total DFT energy (no corrections) = -1.868 eV/atom
Fermi-level density of states = 5.92 states/eV per cell
Symmetry = P-1 (2)

abc: 4.990 6.322 9.957
angles: 67.68 75.47 66.79
Fractional coordinates of all 9 atoms:
Sr 0.000 0.000 0.000
Ag 0.284 0.679 0.753
Cd 0.286 0.360 0.068
Cd 0.098 0.441 0.363
Ag 0.716 0.321 0.247
Cd 0.902 0.559 0.637
Cd 0.714 0.640 0.932
Sr 0.609 0.151 0.628
Sr 0.391 0.849 0.372

---

A relaxed NiSn6Rh2 crystal, computed with PBE.

Values from the calculation:
Volume = 22.342 A^3/atom
ΔH_f (0 K) = -247 meV per atom
Magnetization = 0.000 μB per atom
Energy relative to the lowest polymorph listed for this composition = 0.11 eV/f.u.
Total DFT energy (no corrections) = -5.191 eV/atom
Fermi-level density of states = 10.31 states/eV per cell
Symmetry = P-3m1 (164)

abc: 6.271 10.539 10.539
angles: 120.00 90.00 90.00
Fractional coordinates of all 27 atoms:
Ni 0.478 0.667 0.333
Sn 0.790 0.443 0.557
Ni 0.522 0.333 0.667
Sn 0.718 0.441 0.221
Rh 0.000 0.699 0.699
Sn 0.282 0.559 0.779
Sn 0.310 0.893 0.107
Rh 0.000 0.301 0.301
Sn 0.282 0.221 0.779
Sn 0.310 0.893 0.785
Rh 0.000 0.000 0.301
Sn 0.210 0.557 0.443
Sn 0.690 0.785 0.893
Sn 0.718 0.779 0.559
Sn 0.690 0.107 0.893
Sn 0.210 0.886 0.443
Sn 0.282 0.221 0.441
Sn 0.790 0.114 0.557
Sn 0.210 0.557 0.114
Rh 0.000 0.000 0.699
Sn 0.790 0.443 0.886
Sn 0.690 0.107 0.215
Sn 0.310 0.215 0.107
Rh 0.000 0.699 0.000
Ni 0.000 0.000 0.000
Sn 0.718 0.779 0.221
Rh 0.000 0.301 0.000

---

A relaxed MnPbBr2 crystal, computed with PBE.

Values from the calculation:
Volume = 27.177 A^3/atom
Magnetization = 1.250 μB per atom
Energy relative to the lowest polymorph listed for this composition = 2.57 eV/f.u.
Total DFT energy (no corrections) = -3.809 eV/atom
Fermi-level density of states = 3.54 states/eV per cell
Symmetry = F-43m (216)
Raw formation energy = 95.5 kJ/mol of formula units

abc: 5.357 5.357 5.357
angles: 60.00 60.00 60.00
Last column: magnetic moment on the atom in μB.
Fractional coordinates of all 4 atoms:
Br 0.250 0.250 0.250  0.14
Mn 0.500 0.500 0.500  4.36
Br 0.000 0.000 0.000  0.08
Pb 0.750 0.750 0.750  -0.04

---

A relaxed Sb2RhBr crystal, computed with PBE.

Values from the calculation:
Volume = 27.373 A^3/atom
Magnetization = 0.000 μB per atom
Energy relative to the lowest polymorph listed for this composition = 0.93 eV/f.u.
Total DFT energy (no corrections) = -4.417 eV/atom
Fermi-level density of states = 1.55 states/eV per cell
Symmetry = Cm (8)
Raw formation energy = -38.6 kJ/mol of formula units

abc: 6.892 6.892 5.028
angles: 69.38 69.38 29.49
Fractional coordinates of all 4 atoms:
Rh 0.249 0.249 0.142
Br 0.591 0.591 0.473
Sb 0.902 0.902 0.140
Sb 0.759 0.759 0.746

---

A relaxed HfTlN2O crystal, computed with PBE.

Values from the calculation:
Volume = 15.784 A^3/atom
Magnetization = 0.568 μB per atom
Total DFT energy (no corrections) = -7.148 eV/atom
Fermi-level density of states = 2.35 states/eV per cell
Symmetry = P4/mmm (123)
Raw formation energy = -174.7 kJ/mol of formula units

abc: 4.386 4.386 4.102
angles: 90.00 90.00 90.00
Last column: magnetic moment on the atom in μB.
Fractional coordinates of all 5 atoms:
N 0.500 0.000 0.000  0.86
Tl 0.500 0.500 0.500  0.11
O 0.000 0.000 0.500  0.23
Hf 0.000 0.000 0.000  -0.07
N 0.000 0.500 0.000  0.86

---

A relaxed Ba2InSn8 crystal, computed with PBE.

Values from the calculation:
Volume = 31.465 A^3/atom
ΔH_f (0 K) = -285 meV per atom
Magnetization = 0.000 μB per atom
Total DFT energy (no corrections) = -3.795 eV/atom
Fermi-level density of states = 5.70 states/eV per cell
Symmetry = P-1 (2)

abc: 6.768 6.664 11.809
angles: 128.14 121.64 60.95
Fractional coordinates of all 11 atoms:
Sn 0.757 0.221 0.496
Sn 0.241 0.219 0.234
Ba 0.326 0.393 0.652
Sn 0.762 0.432 0.019
In 0.500 0.000 0.000
Ba 0.674 0.607 0.348
Sn 0.983 0.090 0.760
Sn 0.243 0.779 0.504
Sn 0.017 0.910 0.240
Sn 0.759 0.781 0.766
Sn 0.238 0.568 0.981

---

A relaxed FeTeHPd2 crystal, computed with PBE.

Values from the calculation:
Volume = 13.797 A^3/atom
Magnetization = 0.636 μB per atom
Energy relative to the lowest polymorph listed for this composition = 0.00 eV/f.u.
Total DFT energy (no corrections) = -5.048 eV/atom
Fermi-level density of states = 5.07 states/eV per cell
Symmetry = P4/mmm (123)

abc: 4.035 4.035 4.237
angles: 90.00 90.00 90.00
Last column: magnetic moment on the atom in μB.
Fractional coordinates of all 5 atoms:
Pd 0.500 0.000 0.000  0.13
Fe 0.000 0.000 0.500  2.81
H 0.000 0.000 0.000  -0.01
Te 0.500 0.500 0.500  0.06
Pd 0.000 0.500 0.000  0.13

---

A relaxed HfTa2Ge2 crystal, computed with PBE.

Values from the calculation:
Volume = 18.662 A^3/atom
ΔH_f (0 K) = -62 meV per atom
Magnetization = 0.000 μB per atom
Energy relative to the lowest polymorph listed for this composition = 1.79 eV/f.u.
Total DFT energy (no corrections) = -8.641 eV/atom
Fermi-level density of states = 3.02 states/eV per cell
Symmetry = C2/m (12)

abc: 3.653 5.131 5.439
angles: 102.85 109.62 90.00
Fractional coordinates of all 5 atoms:
Ta 0.635 0.574 0.269
Ge 0.291 0.870 0.582
Ge 0.709 0.130 0.418
Hf 0.000 0.000 0.000
Ta 0.365 0.426 0.731

---

A relaxed LaRe2I crystal, computed with PBE.

Values from the calculation:
Volume = 20.560 A^3/atom
Magnetization = 0.000 μB per atom
Energy relative to the lowest polymorph listed for this composition = 1.85 eV/f.u.
Total DFT energy (no corrections) = -6.518 eV/atom
Fermi-level density of states = 4.18 states/eV per cell
Symmetry = Fm-3m (225)
Raw formation energy = 511.4 kJ/mol of formula units

abc: 4.881 4.881 4.881
angles: 60.00 60.00 60.00
Fractional coordinates of all 4 atoms:
Re 0.250 0.250 0.250
La 0.500 0.500 0.500
I 0.000 0.000 0.000
Re 0.750 0.750 0.750

---

A relaxed LaPu3Pt4 crystal, computed with PBE.

Values from the calculation:
Volume = 22.330 A^3/atom
ΔH_f (0 K) = -805 meV per atom
Magnetization = 0.696 μB per atom
Total DFT energy (no corrections) = -9.816 eV/atom
Fermi-level density of states = 33.54 states/eV per cell
Symmetry = Pmmm (47)

abc: 3.488 5.026 10.191
angles: 90.00 90.00 90.00
Last column: magnetic moment on the atom in μB.
Fractional coordinates of all 8 atoms:
La 0.500 0.500 0.000  -0.02
Pt 0.000 0.500 0.257  0.03
Pu 0.500 0.500 0.500  5.12
Pu 0.500 0.000 0.746  -5.21
Pt 0.000 0.000 0.000  0.03
Pt 0.000 0.500 0.743  0.03
Pu 0.500 0.000 0.254  -5.21
Pt 0.000 0.000 0.500  -0.02